The following is a GGA-PBE calculation of a relaxed structure of InCoCuTe3, from OQMD via LeMat-Bulk.

```
data_InCoCuTe3
_chemical_formula_sum 'In4 Co4 Cu4 Te12'
_space_group_name_H-M_alt 'C m c m'
_space_group_IT_number 63
_space_group_name_Hall '-C 2c 2'
_cell_length_a 3.796
_cell_length_b 13.585
_cell_length_c 10.765
_cell_angle_alpha 90.00
_cell_angle_beta 90.00
_cell_angle_gamma 90.00
loop_
_atom_site_label
_atom_site_fract_x
_atom_site_fract_y
_atom_site_fract_z
In1 0.000 0.230 0.250
Co1 0.000 0.500 0.000
Cu1 0.000 0.121 0.750
Te1 0.000 0.125 0.512
Te2 0.000 0.475 0.750
```

Size of the total moment, μB/f.u.: 0.00
Calculated total energy, eV per atom: -3.89